Record 1
# PBE Re4Pt, relaxed
# E above lowest polymorph in meV/atom: 2835
# Volume in Å³ per cell: 101
# Formation enthalpy at 0 K in eV per atom: 2.82
data_Re4Pt
_cell_length_a 4.655
_cell_length_b 4.655
_cell_length_c 4.655
_cell_angle_alpha 90.00
_cell_angle_beta 90.00
_cell_angle_gamma 90.00
_symmetry_space_group_name_H-M 'P m -3 m'
_symmetry_Int_Tables_number 221
_symmetry_space_group_name_Hall '-P 4 2 3'
loop_
_atom_site_label
_atom_site_fract_x
_atom_site_fract_y
_atom_site_fract_z
_atom_site_occupancy
Re1 0.000 0.000 0.000 1
Re2 0.000 0.500 0.500 1
Pt1 0.500 0.500 0.500 1

=====

Record 2
# PBE Na3YAg, relaxed
# E above lowest polymorph in meV/atom: 652
# Volume in Å³ per cell: 277
# Formation enthalpy at 0 K in eV per atom: 1.11
data_Na3YAg
_cell_length_a 6.517
_cell_length_b 6.517
_cell_length_c 6.517
_cell_angle_alpha 90.00
_cell_angle_beta 90.00
_cell_angle_gamma 90.00
_symmetry_space_group_name_H-M 'P m -3 m'
_symmetry_Int_Tables_number 221
_symmetry_space_group_name_Hall '-P 4 2 3'
loop_
_atom_site_label
_atom_site_fract_x
_atom_site_fract_y
_atom_site_fract_z
_atom_site_occupancy
Na1 0.000 0.000 0.500 1
Y1 0.000 0.000 0.000 1
Ag1 0.500 0.500 0.500 1

=====

Record 3
# PBE TiFeRh2, relaxed
# Volume in Å³ per cell: 245
# Formation enthalpy at 0 K in eV per atom: 0.06
data_TiFeRh2
_cell_length_a 3.810
_cell_length_b 3.810
_cell_length_c 16.884
_cell_angle_alpha 90.00
_cell_angle_beta 90.00
_cell_angle_gamma 90.00
_symmetry_space_group_name_H-M 'I -4 2 d'
_symmetry_Int_Tables_number 122
_symmetry_space_group_name_Hall 'I -4 2bw'
loop_
_atom_site_label
_atom_site_fract_x
_atom_site_fract_y
_atom_site_fract_z
_atom_site_occupancy
Ti1 0.000 0.000 0.000 1
Fe1 0.000 0.000 0.500 1
Rh1 0.240 0.250 0.625 1

=====

Record 4
# PBE B2OsPdPt, relaxed
# Volume in Å³ per cell: 80
# Formation enthalpy at 0 K in eV per atom: 1.66
data_B2OsPdPt
_cell_length_a 3.908
_cell_length_b 3.908
_cell_length_c 5.246
_cell_angle_alpha 90.00
_cell_angle_beta 90.00
_cell_angle_gamma 90.00
_symmetry_space_group_name_H-M 'P 4/m m m'
_symmetry_Int_Tables_number 123
_symmetry_space_group_name_Hall '-P 4 2'
loop_
_atom_site_label
_atom_site_fract_x
_atom_site_fract_y
_atom_site_fract_z
_atom_site_occupancy
B1 0.000 0.500 0.000 1
Os1 0.000 0.000 0.500 1
Pd1 0.500 0.500 0.000 1
Pt1 0.500 0.500 0.500 1

=====

Record 5
# PBE Ho3CO, relaxed
# Formation energy without anion corrections in eV/atom: -1.186
# Volume in Å³ per cell: 921
data_Ho3CO
_cell_length_a 13.912
_cell_length_b 11.717
_cell_length_c 6.191
_cell_angle_alpha 90.00
_cell_angle_beta 114.18
_cell_angle_gamma 90.00
_symmetry_space_group_name_H-M 'C 1 2/c 1'
_symmetry_Int_Tables_number 15
loop_
_symmetry_equiv_pos_as_xyz
'x,y,z'
'-x,-y,-z'
'-x,y,-z+1/2'
'x,-y,z+1/2'
'x+1/2,y+1/2,z'
'-x+1/2,-y+1/2,-z'
'-x+1/2,y+1/2,-z+1/2'
'x+1/2,-y+1/2,z+1/2'
loop_
_atom_site_label
_atom_site_fract_x
_atom_site_fract_y
_atom_site_fract_z
_atom_site_occupancy
Ho1 0.087 0.106 0.047 1
Ho2 0.088 0.385 0.097 1
Ho3 0.137 0.242 0.631 1
C1 0.000 0.252 0.250 1
C2 0.000 0.291 0.750 1
O1 0.087 0.068 0.681 1

=====

Record 6
# PBE AlCrW3, relaxed
# E above lowest polymorph in meV/atom: 0
# Volume in Å³ per cell: 91
# Formation enthalpy at 0 K in eV per atom: 1.41
data_AlCrW3
_cell_length_a 4.502
_cell_length_b 4.502
_cell_length_c 4.502
_cell_angle_alpha 90.00
_cell_angle_beta 90.00
_cell_angle_gamma 90.00
_symmetry_space_group_name_H-M 'P m -3 m'
_symmetry_Int_Tables_number 221
_symmetry_space_group_name_Hall '-P 4 2 3'
loop_
_atom_site_label
_atom_site_fract_x
_atom_site_fract_y
_atom_site_fract_z
_atom_site_occupancy
Al1 0.000 0.000 0.000 1
Cr1 0.500 0.500 0.500 1
W1 0.000 0.500 0.500 1

=====

Record 7
# PBE LaBeBr2, relaxed
# Formation energy without anion corrections in eV/atom: -0.267
# E above lowest polymorph in meV/atom: 526
# Volume in Å³ per cell: 416
data_LaBeBr2
_cell_length_a 7.465
_cell_length_b 7.465
_cell_length_c 7.465
_cell_angle_alpha 90.00
_cell_angle_beta 90.00
_cell_angle_gamma 90.00
_symmetry_space_group_name_H-M 'F -4 3 m'
_symmetry_Int_Tables_number 216
_symmetry_space_group_name_Hall 'F -4 2 3'
loop_
_atom_site_label
_atom_site_fract_x
_atom_site_fract_y
_atom_site_fract_z
_atom_site_occupancy
La1 0.000 0.000 0.000 1
Be1 0.250 0.250 0.250 1
Br1 0.000 0.000 0.500 1
Br2 0.250 0.250 0.750 1

=====

Record 8
# PBE Mg3ZrAs, relaxed
# E above lowest polymorph in meV/atom: 0
# Volume in Å³ per cell: 124
# Formation enthalpy at 0 K in eV per atom: 0.37
data_Mg3ZrAs
_cell_length_a 4.989
_cell_length_b 4.989
_cell_length_c 4.989
_cell_angle_alpha 90.00
_cell_angle_beta 90.00
_cell_angle_gamma 90.00
_symmetry_space_group_name_H-M 'P m -3 m'
_symmetry_Int_Tables_number 221
_symmetry_space_group_name_Hall '-P 4 2 3'
loop_
_atom_site_label
_atom_site_fract_x
_atom_site_fract_y
_atom_site_fract_z
_atom_site_occupancy
Mg1 0.000 0.000 0.500 1
Zr1 0.500 0.500 0.500 1
As1 0.000 0.000 0.000 1

=====

Record 9
# PBE DyScInAg, relaxed
# Volume in Å³ per cell: 377
# Formation enthalpy at 0 K in eV per atom: -0.37
data_DyScInAg
_cell_length_a 7.226
_cell_length_b 7.226
_cell_length_c 7.226
_cell_angle_alpha 90.00
_cell_angle_beta 90.00
_cell_angle_gamma 90.00
_symmetry_space_group_name_H-M 'F -4 3 m'
_symmetry_Int_Tables_number 216
_symmetry_space_group_name_Hall 'F -4 2 3'
loop_
_atom_site_label
_atom_site_fract_x
_atom_site_fract_y
_atom_site_fract_z
_atom_site_occupancy
Dy1 0.000 0.000 0.000 1
Sc1 0.000 0.000 0.500 1
In1 0.250 0.250 0.750 1
Ag1 0.250 0.250 0.250 1

=====

Record 10
# PBE BaLa3Ir, relaxed
# E above lowest polymorph in meV/atom: 0
# Volume in Å³ per cell: 790
# Formation enthalpy at 0 K in eV per atom: -0.32
data_BaLa3Ir
_cell_length_a 10.362
_cell_length_b 7.157
_cell_length_c 10.853
_cell_angle_alpha 90.00
_cell_angle_beta 100.93
_cell_angle_gamma 90.00
_symmetry_space_group_name_H-M 'P 1 21/c 1'
_symmetry_Int_Tables_number 14
loop_
_symmetry_equiv_pos_as_xyz
'x,y,z'
'-x,-y,-z'
'-x,y+1/2,-z+1/2'
'x,-y+1/2,z+1/2'
loop_
_atom_site_label
_atom_site_fract_x
_atom_site_fract_y
_atom_site_fract_z
_atom_site_occupancy
Ba1 0.074 0.081 0.187 1
La1 0.189 0.578 0.055 1
La2 0.322 0.073 0.930 1
La3 0.446 0.589 0.827 1
Ir1 0.427 0.744 0.571 1

=====

Record 11
# PBE Cs3SrHo2Te6, relaxed
# Formation energy without anion corrections in eV/atom: -1.302
# Volume in Å³ per cell: 999
data_Cs3SrHo2Te6
_cell_length_a 8.010
_cell_length_b 13.887
_cell_length_c 9.374
_cell_angle_alpha 90.00
_cell_angle_beta 106.60
_cell_angle_gamma 90.00
_symmetry_space_group_name_H-M 'C 1 2/m 1'
_symmetry_Int_Tables_number 12
loop_
_symmetry_equiv_pos_as_xyz
'x,y,z'
'-x,-y,-z'
'-x,y,-z'
'x,-y,z'
'x+1/2,y+1/2,z'
'-x+1/2,-y+1/2,-z'
'-x+1/2,y+1/2,-z'
'x+1/2,-y+1/2,z'
loop_
_atom_site_label
_atom_site_fract_x
_atom_site_fract_y
_atom_site_fract_z
_atom_site_occupancy
Cs1 0.000 0.000 0.000 1
Cs2 0.000 0.340 0.000 1
Sr1 0.000 0.500 0.500 1
Ho1 0.000 0.167 0.500 1
Te1 0.208 0.000 0.691 1
Te2 0.243 0.322 0.694 1

=====

Record 12
# PBE Tb2Nd2Tl5, relaxed
# Volume in Å³ per cell: 524
# Formation enthalpy at 0 K in eV per atom: -0.27
data_Tb2Nd2Tl5
_cell_length_a 7.961
_cell_length_b 8.437
_cell_length_c 8.727
_cell_angle_alpha 114.33
_cell_angle_beta 99.26
_cell_angle_gamma 91.79
_symmetry_space_group_name_H-M 'P 1'
_symmetry_Int_Tables_number 1
loop_
_symmetry_equiv_pos_as_xyz
'x,y,z'
loop_
_atom_site_label
_atom_site_fract_x
_atom_site_fract_y
_atom_site_fract_z
_atom_site_occupancy
Tb1 0.000 0.000 0.000 1
Tb2 0.115 0.319 0.452 1
Tb3 0.434 0.340 0.831 1
Tb4 0.559 0.662 0.284 1
Nd1 0.085 0.566 0.179 1
Nd2 0.207 0.909 0.637 1
Nd3 0.531 0.900 0.008 1
Nd4 0.638 0.233 0.466 1
Tl1 0.180 0.646 0.862 1
Tl2 0.300 0.965 0.319 1
Tl3 0.338 0.259 0.128 1
Tl4 0.448 0.587 0.586 1
Tl5 0.661 0.991 0.709 1
Tl6 0.755 0.302 0.136 1
Tl7 0.770 0.581 0.892 1
Tl8 0.874 0.641 0.553 1
Tl9 0.883 0.925 0.321 1
Tl10 0.992 0.249 0.756 1

=====

Record 13
# PBE Na3NdDy2S6, relaxed
# Formation energy without anion corrections in eV/atom: -1.828
# Volume in Å³ per cell: 566
data_Na3NdDy2S6
_cell_length_a 6.989
_cell_length_b 12.106
_cell_length_c 7.083
_cell_angle_alpha 90.00
_cell_angle_beta 109.21
_cell_angle_gamma 90.00
_symmetry_space_group_name_H-M 'C 1 2/m 1'
_symmetry_Int_Tables_number 12
loop_
_symmetry_equiv_pos_as_xyz
'x,y,z'
'-x,-y,-z'
'-x,y,-z'
'x,-y,z'
'x+1/2,y+1/2,z'
'-x+1/2,-y+1/2,-z'
'-x+1/2,y+1/2,-z'
'x+1/2,-y+1/2,z'
loop_
_atom_site_label
_atom_site_fract_x
_atom_site_fract_y
_atom_site_fract_z
_atom_site_occupancy
Na1 0.000 0.000 0.000 1
Na2 0.000 0.334 0.000 1
Nd1 0.000 0.500 0.500 1
Dy1 0.000 0.167 0.500 1
S1 0.235 0.000 0.729 1
S2 0.247 0.329 0.728 1

=====

Record 14
# PBE Pm2CoGe3Ir4, relaxed
# Volume in Å³ per cell: 181
# Formation enthalpy at 0 K in eV per atom: -0.67
data_Pm2CoGe3Ir4
_cell_length_a 4.196
_cell_length_b 4.196
_cell_length_c 10.292
_cell_angle_alpha 90.00
_cell_angle_beta 90.00
_cell_angle_gamma 90.00
_symmetry_space_group_name_H-M 'P -4 m 2'
_symmetry_Int_Tables_number 115
loop_
_symmetry_equiv_pos_as_xyz
'x,y,z'
'y,-x,-z'
'-x,-y,z'
'-y,x,-z'
'-x,y,z'
'-y,-x,-z'
'x,-y,z'
'y,x,-z'
loop_
_atom_site_label
_atom_site_fract_x
_atom_site_fract_y
_atom_site_fract_z
_atom_site_occupancy
Pm1 0.000 0.500 0.247 1
Co1 0.500 0.500 0.000 1
Ge1 0.000 0.000 0.000 1
Ge2 0.000 0.500 0.632 1
Ir1 0.000 0.000 0.500 1
Ir2 0.000 0.500 0.871 1
Ir3 0.500 0.500 0.500 1

=====

Per-record total magnetization, μB/f.u.: 1.13; 1.87; 2.20; 2.73; 0.00; 0.00; 0.44; 0.00; 0.00; 0.00; 0.00; 0.00; 0.00; 1.39
Per-record DFT total energy, eV for the cell shown: -41.75; -7.74; -123.28; -27.54; -270.78; -45.18; -52.28; -16.12; -72.09; -108.65; -95.75; -66.10; -129.27; -72.59